Li6V3W3O16 (GGA-PBEsol, relaxed); formation energy from raw total energies = -61.0 eV per formula unit; magnetic moment = 5.06 μB/f.u.
1.0
5.729 0.000 0.000
2.862 5.018 0.000
0.002 0.760 10.082
Li V W O
6 3 3 16
Cartesian
0.000 0.000 0.000
2.862 5.086 3.719
2.865 2.201 4.913
2.860 2.242 8.888
5.731 3.935 9.043
5.724 3.325 4.031
1.481 2.480 1.804
4.187 2.525 1.769
5.729 2.209 6.850
4.163 4.831 6.816
5.734 5.122 1.808
7.293 4.831 6.816
2.863 4.010 5.533
1.364 1.377 5.732
2.860 3.258 0.730
1.542 0.912 0.660
2.863 1.686 3.010
4.386 4.171 2.832
4.371 3.189 7.846
5.728 5.511 7.904
4.196 0.914 0.669
5.728 3.944 5.790
5.719 3.415 0.776
4.367 1.377 5.730
5.728 1.857 2.757
7.072 4.168 2.829
7.087 3.189 7.845
5.730 0.665 8.146

Li2V3WO8 (GGA-PBEsol, relaxed); formation energy from raw total energies = -30.7 eV per formula unit; energy relative to the lowest polymorph listed for this composition = 0.003 eV/atom; magnetic moment = 5.05 μB/f.u.
1.0
5.761 0.000 0.000
-2.881 4.989 0.000
0.000 0.000 9.585
Li V W O
4 6 2 16
Cartesian
0.000 0.000 0.000
0.000 0.000 4.793
0.000 3.326 0.893
2.881 1.663 5.685
0.000 1.754 7.446
-1.362 4.113 7.446
1.519 0.877 2.653
1.362 4.113 7.446
4.242 0.877 2.653
2.881 3.236 2.653
0.000 3.326 4.859
2.881 1.663 0.066
0.000 0.000 1.806
0.000 0.000 6.599
-1.317 2.566 6.192
0.000 1.701 3.798
-1.407 4.139 3.798
0.000 3.326 8.580
1.473 0.851 8.591
1.317 2.566 6.192
0.000 4.847 6.192
2.881 0.142 1.400
1.563 2.424 1.400
1.407 4.139 3.798
2.881 1.663 3.787
4.288 0.851 8.591
2.881 3.288 8.591
4.198 2.424 1.400

Li2V3WO8 (GGA-PBEsol, relaxed); formation energy from raw total energies = -30.7 eV per formula unit; energy relative to the lowest polymorph listed for this composition = 0.003 eV/atom; magnetic moment = 3.94 μB/f.u.
1.0
8.228 0.000 0.000
0.000 8.228 0.000
0.000 0.000 8.228
Li V W O
8 12 4 32
Cartesian
0.049 4.065 4.163
2.008 6.122 6.220
2.106 2.106 2.106
4.065 4.163 0.049
4.163 0.049 4.065
6.122 6.220 2.008
6.220 2.008 6.122
8.179 8.179 8.179
1.021 5.143 1.036
1.029 3.078 7.207
1.036 1.021 5.143
3.078 7.207 1.029
3.086 5.150 3.093
3.093 3.086 5.150
5.135 7.200 7.192
5.143 1.036 1.021
5.150 3.093 3.086
7.192 5.135 7.200
7.200 7.192 5.135
7.207 1.029 3.078
1.029 7.200 3.086
3.086 1.029 7.200
5.143 5.143 5.143
7.200 3.086 1.029
0.919 5.033 7.309
0.975 0.975 3.141
0.975 3.141 0.975
0.973 7.254 5.089
1.082 1.083 7.144
1.084 5.196 3.032
1.083 7.144 1.082
1.138 2.976 5.252
2.976 5.252 1.138
3.032 1.084 5.196
3.030 3.032 7.146
3.032 7.146 3.030
3.141 0.975 0.975
3.139 5.087 5.089
3.140 7.253 7.255
3.195 3.195 3.195
5.033 7.309 0.919
5.089 0.973 7.254
5.089 3.139 5.087
5.087 5.089 3.139
5.196 3.032 1.084
5.197 5.198 7.146
5.198 7.146 5.197
5.252 1.138 2.976
7.091 7.091 7.091
7.144 1.082 1.083
7.146 3.030 3.032
7.146 5.197 5.198
7.255 3.140 7.253
7.254 5.089 0.973
7.253 7.255 3.140
7.309 0.919 5.033

Li2V3WO8 (GGA-PBEsol, relaxed); formation energy from raw total energies = -30.8 eV per formula unit; energy relative to the lowest polymorph listed for this composition = 0.000 eV/atom; magnetic moment = 4.12 μB/f.u.
1.0
2.923 1.688 4.714
-2.923 1.688 4.714
0.000 -3.375 4.714
Li V W O
2 3 1 8
Cartesian
0.000 0.000 1.784
0.000 0.000 12.358
-1.462 -0.844 4.714
-1.462 0.844 9.428
0.000 1.688 4.714
0.000 0.000 7.071
0.000 -1.592 5.862
-1.379 0.796 5.862
0.000 0.000 3.700
-1.379 -0.796 8.281
1.379 0.796 5.862
0.000 0.000 10.443
1.379 -0.796 8.281
0.000 1.592 8.281

Li3V8ZnO16 (GGA-PBEsol, relaxed); formation energy from raw total energies = -64.1 eV per formula unit; magnetic moment = 10.93 μB/f.u.
1.0
5.779 0.000 0.000
0.000 5.779 0.000
0.000 0.000 8.174
Li V Zn O
3 8 1 16
Cartesian
0.000 0.000 0.000
0.000 2.889 2.036
2.889 0.000 6.138
0.000 1.360 5.088
0.000 4.419 5.088
1.360 0.000 3.086
1.485 2.889 7.220
2.889 1.485 0.954
2.889 4.294 0.954
4.294 2.889 7.220
4.419 0.000 3.086
2.889 2.889 4.087
0.000 1.384 3.131
0.000 1.593 7.041
0.000 4.186 7.041
0.000 4.395 3.131
1.301 2.889 5.207
1.384 0.000 5.043
1.528 2.889 0.983
1.593 0.000 1.133
2.889 1.301 2.967
2.889 1.528 7.191
2.889 4.251 7.191
2.889 4.478 2.967
4.186 0.000 1.133
4.251 2.889 0.983
4.395 0.000 5.043
4.478 2.889 5.207

LiW2O6 (GGA-PBEsol, relaxed); formation energy from raw total energies = -19.6 eV per formula unit; magnetic moment = 0.00 μB/f.u.
1.0
-3.721 3.722 3.739
3.721 -3.722 3.739
3.721 3.722 -3.739
Li W O
2 4 12
Cartesian
0.000 0.000 0.000
3.721 0.000 0.000
1.861 1.861 -1.869
1.861 -1.861 1.869
-1.861 1.861 1.869
1.861 1.861 1.869
3.721 2.235 -2.218
2.249 1.553 0.000
5.194 1.553 0.000
2.168 0.000 2.161
5.275 0.000 2.161
0.000 1.487 1.521
3.721 2.235 2.218
-1.554 3.722 1.578
1.554 3.722 1.578
-1.473 2.169 3.739
1.473 2.169 3.739
0.000 1.487 5.957

Li2WO4 (GGA-PBEsol, relaxed); formation energy from raw total energies = -15.5 eV per formula unit; energy relative to the lowest polymorph listed for this composition = 0.017 eV/atom; magnetic moment = 0.00 μB/f.u.
1.0
7.174 4.142 3.184
-7.174 4.142 3.184
0.000 -8.284 3.184
Li W O
12 6 24
Cartesian
-5.443 1.779 3.994
-4.263 -3.824 5.557
-2.890 -0.253 3.945
1.181 -5.604 3.994
-1.226 -2.630 5.606
1.664 -2.376 3.945
-1.664 2.376 5.606
1.226 2.630 3.945
-1.181 5.604 5.557
2.890 0.253 5.606
4.262 3.824 3.994
5.443 -1.779 5.557
-1.240 -2.693 2.395
-1.712 2.421 2.395
2.953 0.273 2.395
-2.953 -0.273 7.156
1.712 -2.421 7.156
1.240 2.693 7.156
-2.240 -6.736 4.098
-6.954 -1.428 5.453
-2.248 -1.217 2.379
-4.819 -0.049 3.953
-2.367 -4.198 5.598
-0.253 -2.674 3.888
-4.714 5.308 4.098
-2.189 1.556 3.888
2.178 -1.338 2.379
0.070 2.555 2.379
-2.442 -1.118 5.663
2.452 -4.149 3.953
-2.452 4.149 5.598
2.442 1.118 3.888
-0.070 -2.555 7.172
-2.178 1.338 7.172
2.189 -1.556 5.663
4.714 -5.308 5.453
0.253 2.674 5.663
2.367 4.198 3.953
4.819 0.049 5.598
2.248 1.217 7.172
6.954 1.428 4.098
2.240 6.736 5.453

Li4WO5 (GGA-PBEsol, relaxed); formation energy from raw total energies = -22.1 eV per formula unit; energy relative to the lowest polymorph listed for this composition = 0.030 eV/atom; magnetic moment = 0.00 μB/f.u.
1.0
-3.274 3.274 2.039
3.274 -3.274 2.039
3.274 3.274 -2.039
Li W O
4 1 5
Cartesian
2.063 0.654 0.000
2.620 -1.211 2.039
0.654 4.485 0.000
1.211 2.620 2.039
0.000 0.000 1.884
0.000 0.000 0.020
3.852 1.475 0.036
1.475 2.696 0.036
1.799 0.578 2.076
-0.578 1.799 2.076

Li8WO6 (GGA-PBEsol, relaxed); formation energy from raw total energies = -27.8 eV per formula unit; magnetic moment = 2.00 μB/f.u.
1.0
2.691 1.554 5.079
-2.691 1.554 5.079
0.000 -3.108 5.079
Li W O
8 1 6
Cartesian
-1.956 -0.075 5.801
0.000 0.000 2.412
-0.913 -1.731 9.436
1.043 -1.656 5.801
-1.043 1.656 9.436
0.913 1.731 5.801
0.000 0.000 12.825
1.956 0.075 9.436
0.000 0.000 7.618
-0.791 -1.464 6.393
-1.663 -0.047 8.844
-0.872 1.417 6.393
0.872 -1.417 8.844
1.663 0.047 6.393
0.791 1.464 8.844

Li2WO4 (GGA-PBEsol, relaxed); formation energy from raw total energies = -15.7 eV per formula unit; energy relative to the lowest polymorph listed for this composition = 0.001 eV/atom; magnetic moment = 0.00 μB/f.u.
1.0
4.879 -2.956 0.000
4.879 2.956 0.000
-0.110 0.000 4.991
Li W O
4 2 8
Cartesian
1.910 0.878 1.294
1.855 -0.878 3.789
7.793 0.878 1.202
7.738 -0.878 3.697
4.852 1.008 1.248
4.797 -1.008 3.743
3.580 2.116 1.877
6.123 2.116 0.618
3.733 0.595 4.663
3.788 -0.595 2.168
5.861 0.595 2.824
5.915 -0.595 0.328
3.525 -2.116 4.373
6.068 -2.116 3.114

Li2W2O7 (GGA-PBEsol, relaxed); formation energy from raw total energies = -24.1 eV per formula unit; magnetic moment = 0.00 μB/f.u.
1.0
5.062 0.000 0.000
0.576 7.026 0.000
1.763 2.763 7.639
Li W O
4 4 14
Cartesian
1.767 7.772 2.065
3.571 7.697 6.880
3.830 2.092 0.759
5.634 2.017 5.575
1.803 4.122 2.555
3.121 4.023 6.290
4.280 5.766 1.350
5.599 5.667 5.084
0.829 4.629 0.988
1.179 2.509 2.806
2.357 2.421 6.258
2.161 4.507 4.406
2.737 6.101 2.295
1.986 1.407 0.303
3.992 6.051 5.862
3.409 3.737 1.777
5.415 8.381 7.337
4.664 3.688 5.344
5.241 5.282 3.233
5.045 7.368 1.381
6.222 7.280 4.834
6.573 5.159 6.652

Li2WO4 (GGA-PBEsol, relaxed); formation energy from raw total energies = -15.7 eV per formula unit; energy relative to the lowest polymorph listed for this composition = 0.000 eV/atom; magnetic moment = 0.00 μB/f.u.
1.0
-5.957 5.957 4.202
5.957 -5.957 4.202
5.957 5.957 -4.202
Li W O
16 8 32
Cartesian
1.555 0.000 0.000
10.359 0.000 0.000
2.978 4.534 -2.101
2.978 -1.423 2.101
4.388 1.409 1.051
7.526 1.409 1.051
4.388 7.366 -1.051
1.569 1.409 3.152
1.555 5.957 0.000
4.402 0.000 4.202
4.388 4.547 1.051
1.569 -1.409 5.253
-1.569 4.547 3.152
1.569 4.547 3.152
-2.978 7.380 2.101
2.978 7.380 2.101
5.957 -1.358 1.866
5.957 4.599 -1.866
1.621 2.978 0.235
4.336 -2.978 4.437
1.621 8.935 -0.235
4.336 2.978 3.967
0.000 1.358 6.068
0.000 7.315 2.336
4.676 -2.978 2.218
7.238 -2.978 2.218
5.957 1.504 -0.096
2.743 1.590 -0.055
9.171 1.590 -0.055
5.957 -4.259 4.085
4.569 5.722 -2.156
1.388 -0.235 2.046
4.569 -0.235 2.156
7.345 -0.235 2.156
5.957 -1.697 4.085
2.743 4.366 -0.055
3.214 -1.590 4.147
5.957 4.453 -0.096
-1.475 2.978 2.005
1.475 2.978 2.005
4.482 2.978 2.197
7.431 2.978 2.197
0.000 1.504 4.298
2.743 7.547 0.055
3.214 1.590 4.257
0.000 7.654 0.117
-1.388 6.192 2.046
1.388 6.192 2.046
4.569 6.192 2.156
1.388 0.235 6.358
0.000 10.216 0.117
-3.214 4.366 4.257
3.214 4.366 4.257
0.000 4.453 4.298
-1.281 8.935 1.984
1.281 8.935 1.984